No. 1
Compound: Na4TmHg5
Source: the Alexandria database
Functional: GGA-PBE
Structure: optimized geometry

Volume, Å³ per cell: 257
Calculated formation energy, meV/atom: -268
SG: No. 123
Total moment, μB/cell: 0.00

Lattice parameters (Å, degrees): 3.6629 3.6629 19.1697 90.00 90.00 90.00
With the nearest neighbours (Å) after each atom.
Positions (direct):
Na 0.0000 0.0000 0.0999  8 Hg 3.22-3.23
Na 0.0000 0.0000 0.3041  8 Hg 3.25-3.26
Na 0.0000 0.0000 0.6959  8 Hg 3.25-3.26
Na 0.0000 0.0000 0.9001  8 Hg 3.22-3.23
Tm 0.0000 0.0000 0.5000  8 Hg 3.15
Hg 0.5000 0.5000 0.0000  8 Na 3.22
Hg 0.5000 0.5000 0.2006  8 Na 3.23-3.26
Hg 0.5000 0.5000 0.4065  4 Tm 3.15, 4 Na 3.25
Hg 0.5000 0.5000 0.5935  4 Tm 3.15, 4 Na 3.25
Hg 0.5000 0.5000 0.7994  8 Na 3.23-3.26



No. 2
Compound: NaTmZnHg
Source: the Alexandria database
Functional: GGA-PBE
Structure: optimized geometry

Volume, Å³ per cell: 362
Calculated formation energy, meV/atom: -170
SG: No. 216
Total moment, μB/cell: 0.00

Lattice parameters (Å, degrees): 7.1299 7.1299 7.1299 90.00 90.00 90.00
With the nearest neighbours (Å) after each atom.
Positions (direct):
Na 0.0000 0.0000 0.0000  4 Zn 3.09, 4 Hg 3.09
Na 0.0000 0.5000 0.5000  4 Zn 3.09, 4 Hg 3.09
Na 0.5000 0.0000 0.5000  4 Zn 3.09, 4 Hg 3.09
Na 0.5000 0.5000 0.0000  4 Zn 3.09, 4 Hg 3.09
Tm 0.0000 0.0000 0.5000  4 Hg 3.09, 4 Zn 3.09
Tm 0.0000 0.5000 0.0000  4 Hg 3.09, 4 Zn 3.09
Tm 0.5000 0.0000 0.0000  4 Hg 3.09, 4 Zn 3.09
Tm 0.5000 0.5000 0.5000  4 Hg 3.09, 4 Zn 3.09
Zn 0.2500 0.2500 0.7500  4 Na 3.09, 4 Tm 3.09
Zn 0.2500 0.7500 0.2500  4 Na 3.09, 4 Tm 3.09
Zn 0.7500 0.2500 0.2500  4 Na 3.09, 4 Tm 3.09
Zn 0.7500 0.7500 0.7500  4 Na 3.09, 4 Tm 3.09
Hg 0.2500 0.2500 0.2500  4 Na 3.09, 4 Tm 3.09
Hg 0.2500 0.7500 0.7500  4 Na 3.09, 4 Tm 3.09
Hg 0.7500 0.2500 0.7500  4 Na 3.09, 4 Tm 3.09
Hg 0.7500 0.7500 0.2500  4 Na 3.09, 4 Tm 3.09



No. 3
Compound: NaVHg
Source: the Alexandria database
Functional: GGA-PBE
Structure: optimized geometry

Volume, Å³ per cell: 126
Calculated formation energy, meV/atom: 267
Relative energy among the computed polymorphs, eV per atom: 0.138
SG: No. 2
Total moment, μB/cell: 0.00

Lattice parameters (Å, degrees): 2.9974 4.5274 9.4963 95.98 96.47 96.82
With the nearest neighbours (Å) after each atom.
Positions (direct):
Na 0.2159 0.2232 0.3896  4 Na 3.00-3.32, 4 Hg 3.02-3.34, 1 V 3.32
Na 0.7841 0.7768 0.6104  4 Na 3.00-3.32, 4 Hg 3.02-3.34, 1 V 3.32
V 0.0782 0.8139 0.9606  1 V 1.90
V 0.9218 0.1861 0.0394  1 V 1.90
Hg 0.3759 0.3167 0.7846  5 V 2.92-3.10, 2 Hg 3.00, 3 Na 3.02-3.25
Hg 0.6241 0.6833 0.2154  5 V 2.92-3.10, 2 Hg 3.00, 3 Na 3.02-3.25



What is the calculated formation energy in the first record?
-268 meV/atom